! CsPrZnSe3 (PBE-GGA, relaxed); values from VASP
&SYSTEM
  ibrav = 0, nat = 12, ntyp = 4
/
ATOMIC_SPECIES
Se 78.96 Se.upf
Cs 132.91 Cs.upf
Zn 65.41 Zn.upf
Pr 140.91 Pr.upf
CELL_PARAMETERS angstrom
-0.977 4.186 -0.286
-5.486 -0.717 8.231
9.746 2.446 2.490
ATOMIC_POSITIONS crystal
Se 0.750 0.468 0.158
Se 0.250 0.818 0.463
Se 0.750 0.882 0.145
Se 0.250 0.118 0.855
Se 0.750 0.182 0.537
Se 0.250 0.532 0.842
Cs 0.750 0.790 0.760
Cs 0.250 0.210 0.240
Zn 0.750 0.918 0.390
Zn 0.250 0.082 0.610
Pr 0.750 0.331 0.857
Pr 0.250 0.669 0.143
! Total energy   -4.28 eV/atom
! SG   P2_1/m
! Raw formation energy   -1.39 eV/atom

! Cs3Pr3ZrSe8 (PBE-GGA, relaxed); values from VASP
&SYSTEM
  ibrav = 0, nat = 15, ntyp = 4
/
ATOMIC_SPECIES
Se 78.96 Se.upf
Pr 140.91 Pr.upf
Cs 132.91 Cs.upf
Zr 91.22 Zr.upf
CELL_PARAMETERS angstrom
8.586 0.000 0.000
-4.293 7.438 -0.033
0.000 -4.925 8.598
ATOMIC_POSITIONS crystal
Se 0.247 0.033 0.319
Se 0.786 0.571 0.319
Se 0.731 0.462 0.693
Se 0.269 0.538 0.307
Se 0.214 0.967 0.681
Se 0.786 0.033 0.319
Se 0.753 0.967 0.681
Se 0.214 0.429 0.681
Pr 0.500 0.000 0.500
Pr 0.000 0.500 0.500
Pr 0.500 0.500 0.500
Cs 0.500 0.500 0.000
Cs 0.000 0.500 0.000
Cs 0.000 0.000 0.000
Zr 0.000 0.000 0.500
! Total energy   -5.20 eV/atom
! SG   R-3m
! Raw formation energy   -1.65 eV/atom

! Cs2Pr2ZrSe6 (PBE-GGA, relaxed); values from VASP
&SYSTEM
  ibrav = 0, nat = 11, ntyp = 4
/
ATOMIC_SPECIES
Se 78.96 Se.upf
Cs 132.91 Cs.upf
Pr 140.91 Pr.upf
Zr 91.22 Zr.upf
CELL_PARAMETERS angstrom
-7.019 1.615 -1.227
1.733 -6.400 3.069
1.293 5.237 7.138
ATOMIC_POSITIONS crystal
Se 0.935 0.627 0.315
Se 0.627 0.935 0.315
Se 0.243 0.243 0.317
Se 0.065 0.373 0.685
Se 0.757 0.757 0.683
Se 0.373 0.065 0.685
Cs 0.828 0.172 0.000
Cs 0.172 0.828 0.000
Pr 0.333 0.667 0.500
Pr 0.667 0.333 0.500
Zr 0.000 0.000 0.500
! Total energy   -5.33 eV/atom
! SG   C2/m
! Raw formation energy   -1.63 eV/atom

! CsPrSm2 (PBE-GGA, relaxed); values from VASP
&SYSTEM
  ibrav = 0, nat = 4, ntyp = 3
/
ATOMIC_SPECIES
Pr 140.91 Pr.upf
Sm 150.36 Sm.upf
Cs 132.91 Cs.upf
CELL_PARAMETERS angstrom
3.735 0.000 0.000
1.868 3.235 0.000
1.868 1.078 13.433
ATOMIC_POSITIONS crystal
Pr 0.500 0.500 0.500
Sm 0.094 0.094 0.717
Sm 0.906 0.906 0.283
Cs 0.000 0.000 0.000
! Total energy   -3.47 eV/atom
! SG   R-3m
! Formation energy   113 kJ/mol of formula units

! Cs3PrSm2Te6 (PBE-GGA, relaxed); values from VASP
&SYSTEM
  ibrav = 0, nat = 12, ntyp = 4
/
ATOMIC_SPECIES
Te 127.60 Te.upf
Cs 132.91 Cs.upf
Sm 150.36 Sm.upf
Pr 140.91 Pr.upf
CELL_PARAMETERS angstrom
-1.028 7.091 -3.703
3.158 -6.233 -4.028
-8.911 -2.801 0.038
ATOMIC_POSITIONS crystal
Te 0.727 0.727 0.194
Te 0.065 0.402 0.194
Te 0.598 0.935 0.806
Te 0.402 0.065 0.194
Te 0.935 0.598 0.806
Te 0.273 0.273 0.806
Cs 0.500 0.500 0.500
Cs 0.166 0.834 0.500
Cs 0.834 0.166 0.500
Sm 0.667 0.333 0.000
Sm 0.333 0.667 0.000
Pr 0.000 0.000 0.000
! Total energy   -4.38 eV/atom
! SG   C2/m
! Raw formation energy   -1.41 eV/atom

! CsPrSn (PBE-GGA, relaxed); values from VASP
&SYSTEM
  ibrav = 0, nat = 6, ntyp = 3
/
ATOMIC_SPECIES
Pr 140.91 Pr.upf
Cs 132.91 Cs.upf
Sn 118.71 Sn.upf
CELL_PARAMETERS angstrom
-0.347 1.448 -4.189
-4.319 0.833 0.646
7.803 11.453 7.870
ATOMIC_POSITIONS crystal
Pr 0.673 0.673 0.920
Pr 0.327 0.327 0.080
Cs 0.568 0.568 0.330
Cs 0.432 0.432 0.670
Sn 0.888 0.888 0.143
Sn 0.112 0.112 0.857
! Total energy   -3.58 eV/atom
! SG   C2/m
! Formation energy   -108 kJ/mol of formula units

! Cs2PrSnTe4 (PBE-GGA, relaxed); values from VASP
&SYSTEM
  ibrav = 0, nat = 8, ntyp = 4
/
ATOMIC_SPECIES
Sn 118.71 Sn.upf
Te 127.60 Te.upf
Cs 132.91 Cs.upf
Pr 140.91 Pr.upf
CELL_PARAMETERS angstrom
-0.907 4.238 1.566
-8.137 -0.063 -4.544
-5.492 -3.086 5.167
ATOMIC_POSITIONS crystal
Sn 0.500 0.500 0.000
Te 0.000 0.689 0.776
Te 0.000 0.311 0.224
Te 0.500 0.693 0.262
Te 0.500 0.307 0.738
Cs 0.000 0.000 0.000
Cs 0.500 0.000 0.500
Pr 0.000 0.500 0.500
! Total energy   -3.84 eV/atom
! SG   P2/m
! Raw formation energy   -0.96 eV/atom

! CsPrSnTe3 (PBE-GGA, relaxed); values from VASP
&SYSTEM
  ibrav = 0, nat = 12, ntyp = 4
/
ATOMIC_SPECIES
Te 127.60 Te.upf
Sn 118.71 Sn.upf
Cs 132.91 Cs.upf
Pr 140.91 Pr.upf
CELL_PARAMETERS angstrom
4.558 0.000 0.000
0.000 9.959 -0.202
0.000 -4.072 11.798
ATOMIC_POSITIONS crystal
Te 0.250 0.667 0.423
Te 0.750 0.333 0.577
Te 0.250 0.114 0.786
Te 0.250 0.598 0.891
Te 0.750 0.886 0.214
Te 0.750 0.402 0.109
Sn 0.750 0.874 0.441
Sn 0.250 0.126 0.559
Cs 0.750 0.767 0.724
Cs 0.250 0.233 0.276
Pr 0.250 0.638 0.155
Pr 0.750 0.362 0.845
! Total energy   -4.21 eV/atom
! SG   P2_1/m
! Raw formation energy   -1.03 eV/atom